# BaHoCo2O6 (PBE+U, relaxed)
data_BaHoCo2O6
_cell_length_a 3.808
_cell_length_b 3.808
_cell_length_c 7.679
_cell_angle_alpha 90.00
_cell_angle_beta 90.00
_cell_angle_gamma 90.00
_space_group_name_H-M_alt 'P 4/m m m'
_space_group_IT_number 123
_space_group_name_Hall '-P 4 2'
loop_
_atom_site_label
_atom_site_type_symbol
_atom_site_fract_x
_atom_site_fract_y
_atom_site_fract_z
_atom_site_occupancy
Ba1 Ba 0.000 0.000 0.000 1
Ho1 Ho 0.000 0.000 0.500 1
Co1 Co 0.500 0.500 0.254 1
O1 O 0.000 0.500 0.284 1
O2 O 0.500 0.500 0.000 1
O3 O 0.500 0.500 0.500 1
# DFT total energy in eV per atom: -6.45
# M_tot in Bohr magnetons per cell: 3.5